This record from Alexandria via LeMat-Bulk describes crystalline SrSc3Ir at its relaxed geometry. The functional is PBE.

Computed properties:
The final energy comes out at -31.1 eV for the cell shown. The density of states at the Fermi level is 1.00 states/eV/atom. For the energy above the most stable polymorph in this dataset, the calculation gives 0 meV/atom. The total moment comes out at 0.0 μB per formula unit.

```
data_SrSc3Ir
_chemical_formula_sum 'Sr1 Sc3 Ir1'
_cell_length_a 5.189
_cell_length_b 5.189
_cell_length_c 5.189
_cell_angle_alpha 90.00
_cell_angle_beta 90.00
_cell_angle_gamma 90.00
_symmetry_space_group_name_H-M 'P m -3 m'
_symmetry_Int_Tables_number 221
_symmetry_space_group_name_Hall '-P 4 2 3'
loop_
_atom_site_label
_atom_site_fract_x
_atom_site_fract_y
_atom_site_fract_z
Sr1 0.000 0.000 0.000
Sc1 0.000 0.500 0.500
Ir1 0.500 0.500 0.500
```